1.
Here is a crystal of GaRuPtC2 relaxed with PBEsol from the Alexandria database. Energies are from meta-GGA SCAN.

Lattice parameters (Å, degrees): 3.755 3.755 5.506 90.00 90.00 90.00
Space group P4/mmm (No. 123)
Symmetry-distinct sites (fractional):
Ga: 0.000 0.000 0.000
Ru: 0.500 0.500 0.000
Pt: 0.500 0.500 0.500
C: 0.000 0.500 0.500

DFT total energy (eV/atom): -26.688
Energy of formation from the pure elements (kJ/mol of formula units): 784
D(E_F) (states/eV/atom): 0.353

=====

2.
Here is a crystal of Rb2GaC2 relaxed with PBEsol from the Alexandria database. Energies are from meta-GGA SCAN.

Lattice parameters (Å, degrees): 5.996 5.996 6.977 90.00 90.00 90.00
Space group I4/mmm (No. 139)
Symmetry-distinct sites (fractional):
Rb: 0.000 0.500 0.250
Ga: 0.000 0.000 0.000
C: 0.000 0.000 0.409

DFT total energy (eV/atom): -14.961
Energy of formation from the pure elements (kJ/mol of formula units): 311
D(E_F) (states/eV/atom): 0.731

=====

3.
Here is a crystal of GaRh3C relaxed with PBEsol from the Alexandria database. Energies are from meta-GGA SCAN.

Lattice parameters (Å, degrees): 3.994 3.994 3.994 90.00 90.00 90.00
Space group Pm-3m (No. 221)
Symmetry-distinct sites (fractional):
Ga: 0.000 0.000 0.000
Rh: 0.000 0.500 0.500
C: 0.500 0.500 0.500

DFT total energy (eV/atom): -25.660
Energy of formation from the pure elements (kJ/mol of formula units): -52
D(E_F) (states/eV/atom): 0.284